First-principles (GGA-PBE) data for LiHoMgTe3 after structural relaxation, as listed in the Open Quantum Materials Database.

Output
The calculation puts the total magnetic moment at 0.0 μB per cell. For the excess energy over the best structure of this formula in the dataset, the calculation gives 54.6 meV/atom. Its space group is Cmcm.

Unit cell a=7.5108 b=7.5108 c=11.6399 alpha=90.00 beta=90.00 gamma=146.47
Element x y z (fractional)
Te 0.6403 0.3597 0.5687
Te 0.1020 0.8980 0.2500
Te 0.6403 0.3597 0.9313
Te 0.3597 0.6403 0.0687
Te 0.3597 0.6403 0.4313
Te 0.8980 0.1020 0.7500
Mg 0.4830 0.5170 0.2500
Mg 0.5170 0.4830 0.7500
Li 0.7819 0.2181 0.2500
Li 0.2181 0.7819 0.7500
Ho 0.0000 0.0000 0.0000
Ho 0.0000 0.0000 0.5000

First-principles (GGA-PBE) data for LiLuPbS3 after structural relaxation, as listed in the Open Quantum Materials Database.

Output
The calculation puts the total magnetic moment at 0.0 μB per cell. For the excess energy over the best structure of this formula in the dataset, the calculation gives 63.2 meV/atom. Its space group is P2_1/m.

Unit cell a=7.3538 b=3.9141 c=9.5983 alpha=90.00 beta=106.20 gamma=90.00
Element x y z (fractional)
Lu 0.6950 0.2500 0.6523
Lu 0.3050 0.7500 0.3477
S 0.2558 0.7500 0.0523
S 0.0558 0.2500 0.3262
S 0.7442 0.2500 0.9477
S 0.9442 0.7500 0.6738
S 0.5644 0.2500 0.3633
S 0.4356 0.7500 0.6367
Li 0.9147 0.7500 0.9122
Li 0.0853 0.2500 0.0878
Pb 0.7349 0.7500 0.1931
Pb 0.2651 0.2500 0.8069

First-principles (GGA-PBE) data for BiB2Mo3 after structural relaxation, as listed in the Open Quantum Materials Database.

Output
The calculation puts the total magnetic moment at 0.1 μB per cell. The calculated total energy is -99.85 eV per cell. Its space group is P6_3/mmc.

Unit cell a=3.2495 b=3.2495 c=18.9342 alpha=90.00 beta=90.00 gamma=120.00
Element x y z (fractional)
B 0.6667 0.3333 0.5684
B 0.3333 0.6667 0.0684
B 0.3333 0.6667 0.4316
B 0.6667 0.3333 0.9316
Mo 0.3333 0.6667 0.8736
Mo 0.0000 0.0000 0.5000
Mo 0.6667 0.3333 0.1264
Mo 0.0000 0.0000 0.0000
Mo 0.6667 0.3333 0.3736
Mo 0.3333 0.6667 0.6264
Bi 0.0000 0.0000 0.7500
Bi 0.0000 0.0000 0.2500

Q: The highest total magnetic moment belongs to which entry?
A: BiB2Mo3

Q: Which formula does entry 1 have?
A: LiHoMgTe3